## Y2WBr (GGA-PBEsol)

Data for crystalline Y2WBr at its relaxed geometry.

The structure in POSCAR format:
```
Y2WBr
1.0
3.487 0.000 0.000
1.743 3.020 0.000
1.743 1.007 8.831
Y Br W
2 1 1
Direct
0.254 0.254 0.238
0.746 0.746 0.762
0.500 0.500 0.500
0.000 0.000 0.000
```

Properties
energy relative to the elements, uncorrected	-0.097	eV/atom
distance to the lowest polymorph of the same formula	0.0000	eV/atom
total energy	-29.710	eV/f.u.

---

## BaCaBi3 (GGA-PBEsol)

Data for crystalline BaCaBi3 at its relaxed geometry.

The structure in POSCAR format:
```
BaCaBi3
1.0
-1.667 -4.790 -2.773
4.043 0.924 -4.027
3.780 -3.101 3.084
Ca Bi Ba
1 3 1
Direct
0.000 0.000 0.000
0.000 0.500 0.000
0.000 0.000 0.500
0.500 0.000 0.000
0.500 0.500 0.500
```

Properties
DFT formation energy	-0.2308	eV/atom
total energy	-18.292	eV/f.u.

---

## KNaN2 (GGA-PBEsol)

Data for crystalline KNaN2 at its relaxed geometry.

The structure in POSCAR format:
```
KNaN2
1.0
-3.544 -0.673 -2.745
0.673 -0.869 -4.398
-0.838 -4.140 -1.646
Na K N
1 1 2
Direct
0.000 0.000 0.000
0.500 0.500 0.500
0.250 0.250 0.250
0.750 0.750 0.750
```

Properties
energy relative to the elements, uncorrected	1.362	eV/atom
total energy	-14.138	eV/f.u.

---

## V2Se9 (GGA-PBEsol)

Data for crystalline V2Se9 at its relaxed geometry.

The structure in POSCAR format:
```
V2Se9
1.0
-6.729 -2.543 -3.504
4.794 -4.885 -4.417
-1.047 -4.633 6.618
V Se
4 18
Direct
0.917 0.862 0.400
0.583 0.600 0.138
0.083 0.138 0.600
0.417 0.400 0.862
0.455 0.702 0.407
0.045 0.593 0.298
0.388 0.092 0.706
0.112 0.294 0.908
0.612 0.908 0.294
0.888 0.706 0.092
0.441 0.320 0.149
0.059 0.851 0.680
0.559 0.680 0.851
0.941 0.149 0.320
0.679 0.323 0.004
0.821 0.996 0.677
0.321 0.677 0.996
0.179 0.004 0.323
0.955 0.407 0.702
0.545 0.298 0.593
0.750 0.585 0.415
0.250 0.415 0.585
```

Properties
energy relative to the elements, uncorrected	-0.417	eV/atom
total energy	-58.508	eV/f.u.

---

## LiInSb (GGA-PBEsol)

Data for crystalline LiInSb at its relaxed geometry.

The structure in POSCAR format:
```
LiInSb
1.0
3.264 0.000 0.000
0.000 3.264 0.000
-1.632 -1.632 6.376
Sb In Li
1 1 1
Direct
0.319 0.319 0.638
0.008 0.008 0.017
0.673 0.673 0.345
```

Properties
energy relative to the elements, uncorrected	-0.176	eV/atom
distance to the lowest polymorph of the same formula	0.0000	eV/atom
total energy	-10.035	eV/f.u.

---

## CaAlCu (GGA-PBEsol)

Data for crystalline CaAlCu at its relaxed geometry.

The structure in POSCAR format:
```
CaAlCu
1.0
-2.972 -2.191 -1.088
2.596 -3.447 -0.151
-2.067 0.987 3.659
Ca Al Cu
1 1 1
Direct
0.000 0.333 0.667
0.500 0.000 0.000
0.500 0.667 0.333
```

Properties
DFT formation energy	-0.1627	eV/atom
total energy	-11.047	eV/f.u.

---

## Y2RuPb (GGA-PBEsol)

Data for crystalline Y2RuPb at its relaxed geometry.

The structure in POSCAR format:
```
Y2RuPb
1.0
-1.514 0.854 -2.885
-2.976 0.056 1.578
1.092 7.943 1.779
Pb Ru Y
1 1 2
Direct
0.500 0.500 0.000
0.500 0.500 0.500
0.000 0.000 0.700
0.000 0.000 0.300
```

Properties
DFT formation energy	-0.4585	eV/atom
total energy	-29.650	eV/f.u.

---

## MnP3 (GGA-PBEsol)

Data for crystalline MnP3 at its relaxed geometry.

The structure in POSCAR format:
```
MnP3
1.0
4.079 0.000 0.000
2.040 3.533 0.000
2.040 1.178 3.331
Mn P
1 3
Direct
0.000 0.000 0.000
0.250 0.250 0.250
0.500 0.500 0.500
0.750 0.750 0.750
```

Properties
distance to the lowest polymorph of the same formula	0.0000	eV/atom
DFT formation energy	0.3427	eV/atom
total energy	-25.765	eV/f.u.

---

## BeReSe (GGA-PBEsol)

Data for crystalline BeReSe at its relaxed geometry.

The structure in POSCAR format:
```
BeReSe
1.0
2.741 0.057 0.000
-1.007 2.550 0.000
-0.867 -1.304 5.922
Re Se Be
1 1 1
Direct
0.651 0.651 0.303
0.342 0.342 0.684
0.007 0.007 0.014
```

Properties
energy relative to the elements, uncorrected	0.636	eV/atom
total energy	-19.274	eV/f.u.

---

## RbAuCl2 (GGA-PBEsol)

Data for crystalline RbAuCl2 at its relaxed geometry.

The structure in POSCAR format:
```
RbAuCl2
1.0
-4.003 1.297 -3.147
-1.796 -3.457 -3.527
-6.427 -3.182 2.478
Au Rb Cl
1 1 2
Direct
0.000 0.000 0.000
0.500 0.500 0.500
0.892 0.892 0.323
0.108 0.108 0.677
```

Properties
energy relative to the elements, uncorrected	-1.029	eV/atom
total energy	-13.079	eV/f.u.

---

## MgCdOF2 (GGA-PBEsol)

Data for crystalline MgCdOF2 at its relaxed geometry.

The structure in POSCAR format:
```
MgCdOF2
1.0
-1.691 0.282 -3.878
-3.638 -1.607 1.469
-1.388 3.959 0.893
Mg F O Cd
1 2 1 1
Direct
0.500 0.500 0.500
0.000 0.500 0.000
0.500 0.000 0.000
0.000 0.000 0.500
0.000 0.000 0.000
```

Properties
energy relative to the elements, uncorrected	-1.440	eV/atom
total energy	-19.220	eV/f.u.

---

## TiMoRh3 (GGA-PBEsol)

Data for crystalline TiMoRh3 at its relaxed geometry.

The structure in POSCAR format:
```
TiMoRh3
1.0
4.414 0.000 0.000
0.000 4.414 0.000
0.000 0.000 4.414
Mo Rh Ti
1 3 1
Direct
0.500 0.500 0.500
0.000 0.500 0.000
0.000 0.000 0.500
0.500 0.000 0.000
0.000 0.000 0.000
```

Properties
DFT formation energy	0.9730	eV/atom
total energy	-39.641	eV/f.u.